Density functional theory data (PBE with a Hubbard U) for a geometry-optimized Pr2MnInO6 structure.

- E_tot: -7.39 eV/atom
- M_tot: 8.00 μB per cell

a = 10.012 Å, b = 5.583 Å, c = 5.666 Å
α = 90.00°, β = 121.17°, γ = 90.00°
Space group C2/m (No. 12)
Asymmetric unit:
Pr (0.244, 0.000, 0.222)
Mn (0.000, 0.500, 0.000)
In (0.000, 0.000, 0.500)
O (0.068, 0.259, 0.834)
O (0.244, 0.000, 0.632)